SmVAgO4 PBE with a Hubbard U optimized geometry; final energy = -6.999 eV/atom; SG = P2_1/m
1.0
-1.563 4.143 -4.237
-5.191 1.332 3.217
3.774 3.096 4.807
O Ag V Sm
8 2 2 2
Direct
0.530 0.250 0.823 O
0.470 0.750 0.177 O
0.060 0.535 0.322 O
0.518 0.250 0.432 O
0.940 0.035 0.678 O
0.482 0.750 0.568 O
0.060 0.965 0.322 O
0.940 0.465 0.678 O
0.535 0.250 0.130 Ag
0.465 0.750 0.870 Ag
0.258 0.750 0.313 V
0.742 0.250 0.687 V
0.812 0.750 0.458 Sm
0.188 0.250 0.542 Sm